LiTlAg3 | PBE | relaxed

Values from the calculation:
Space-group type = P-1
Offset from the most stable computed form = 0.159 eV/atom
ΔH_f (0 K) = 0.20 eV per atom
Fermi-level density of states = 1.5 states/eV/f.u.
Magnetic moment = 0.000 μB/atom

Geometry as CIF:
```
data_LiTlAg3
_cell_length_a 5.5156
_cell_length_b 5.5160
_cell_length_c 5.6822
_cell_angle_alpha 104.22
_cell_angle_beta 103.70
_cell_angle_gamma 118.58
_symmetry_space_group_name_H-M 'P 1'
_symmetry_Int_Tables_number 1
loop_
_symmetry_equiv_pos_as_xyz
'x,y,z'
loop_
_atom_site_label
_atom_site_fract_x
_atom_site_fract_y
_atom_site_fract_z
Li1 0.0000 0.0000 0.0000
Tl1 0.0000 0.0000 0.5000
Ag1 0.0000 0.5000 0.0000
Ag2 0.5000 0.0000 0.0000
Ag3 0.5000 0.5000 0.0000
```